A plane-wave DFT calculation with PBE was carried out for a geometry-optimized Fe6SiSn structure.

extended XYZ file:
```
8
Lattice="4.027 0.000 0.000 0.000 4.027 0.000 0.000 0.000 5.969" Properties=species:S:1:pos:R:3 pbc="T T T"
Fe 0.000 2.014 4.345
Fe 0.000 0.000 0.000
Fe 2.014 0.000 4.345
Fe 2.014 2.014 2.985
Fe 0.000 2.014 1.624
Fe 2.014 0.000 1.624
Si 0.000 0.000 2.985
Sn 2.014 2.014 0.000
```

Spin magnetization   11.2 μB/cell
DFT total energy   -60.12 eV/cell